[1]
A crystal of Li2TiV3O8 relaxed with PBEsol, computed with meta-GGA SCAN.

a b c (Å): 9.911 5.769 5.892
angles (deg): 90.00 123.34 90.00
Space group C2/m (No. 12)
Asymmetric unit:
Li  0.250  0.250  0.000 [4 per cell]
Ti  0.000  0.000  0.500 [2 per cell]
V  0.000  0.500  0.500 [2 per cell]
V  0.250  0.250  0.500 [4 per cell]
O  0.012  0.252  0.289 [8 per cell]
O  0.237  0.000  0.721 [4 per cell]
O  0.237  0.500  0.720 [4 per cell]

Results
**Energy above the most stable polymorph in this dataset**: 88 meV/atom
**Energy relative to the elements, uncorrected**: -2675 meV per atom

---

[2]
A crystal of MgTaAs relaxed with PBEsol, computed with meta-GGA SCAN.

a b c (Å): 6.219 6.219 6.219
angles (deg): 90.00 90.00 90.00
Space group F-43m (No. 216)
Asymmetric unit:
Mg  0.000  0.000  0.000 [4 per cell]
Ta  0.250  0.250  0.250 [4 per cell]
As  0.250  0.250  0.750 [4 per cell]

Results
**Energy above the most stable polymorph in this dataset**: 1224 meV/atom

---

[3]
A crystal of LaRe2AuS relaxed with PBEsol, computed with meta-GGA SCAN.

a b c (Å): 4.371 4.371 5.259
angles (deg): 90.00 90.00 90.00
Space group P4/mmm (No. 123)
Asymmetric unit:
La  0.000  0.000  0.000 [1 per cell]
Re  0.000  0.500  0.500 [2 per cell]
Au  0.500  0.500  0.000 [1 per cell]
S  0.000  0.000  0.500 [1 per cell]

Results
**Energy relative to the elements, uncorrected**: 503 meV per atom